# 1
Fe2SiGe | GGA-PBE | relaxed

```
data_Fe2SiGe
_chemical_formula_sum 'Fe2 Si1 Ge1'
_space_group_name_H-M_alt 'P 1'
_space_group_IT_number 1
_cell_length_a 2.822
_cell_length_b 2.822
_cell_length_c 5.690
_cell_angle_alpha 90.00
_cell_angle_beta 90.00
_cell_angle_gamma 90.00
loop_
_space_group_symop_operation_xyz
'x,y,z'
loop_
_atom_site_label
_atom_site_fract_x
_atom_site_fract_y
_atom_site_fract_z
Si1 0.500 0.500 0.000
Ge1 0.500 0.500 0.500
Fe1 0.000 0.000 0.761
Fe2 0.000 0.000 0.239
```

# 2
Fe2SiGe | GGA-PBE | relaxed

```
data_Fe2SiGe
_chemical_formula_sum 'Fe2 Si1 Ge1'
_space_group_name_H-M_alt 'P 1'
_space_group_IT_number 1
_cell_length_a 4.000
_cell_length_b 4.000
_cell_length_c 4.000
_cell_angle_alpha 60.00
_cell_angle_beta 60.00
_cell_angle_gamma 60.00
loop_
_space_group_symop_operation_xyz
'x,y,z'
loop_
_atom_site_label
_atom_site_fract_x
_atom_site_fract_y
_atom_site_fract_z
Si1 0.000 0.000 0.000
Fe1 0.750 0.750 0.750
Fe2 0.250 0.250 0.250
Ge1 0.500 0.500 0.500
```

# 3
Fe3SiGe | GGA-PBE | relaxed

```
data_Fe3SiGe
_chemical_formula_sum 'Fe3 Si1 Ge1'
_space_group_name_H-M_alt 'P 1'
_space_group_IT_number 1
_cell_length_a 4.371
_cell_length_b 4.371
_cell_length_c 4.371
_cell_angle_alpha 90.00
_cell_angle_beta 90.00
_cell_angle_gamma 90.00
loop_
_space_group_symop_operation_xyz
'x,y,z'
loop_
_atom_site_label
_atom_site_fract_x
_atom_site_fract_y
_atom_site_fract_z
Fe1 0.500 0.000 0.000
Fe2 0.000 0.500 0.000
Fe3 0.000 0.000 0.500
Si1 0.500 0.500 0.500
Ge1 0.000 0.000 0.000
```

Number 1: electronic total energy -27.84 eV/cell, formation energy without anion corrections -219.3 meV per atom, ρ 7.78 g cm⁻³. Number 2: electronic total energy -27.77 eV/cell, formation energy without anion corrections -200.5 meV per atom, ρ 7.79 g cm⁻³. Number 3: electronic total energy -30.54 eV/cell, formation energy without anion corrections 977.6 meV per atom, ρ 5.33 g cm⁻³.